[1]
Material: Ca4FeIr
Method: DFT, GGA-PBEsol
State: optimized geometry

The structure in POSCAR format:
```
Ca4FeIr
1.0
-3.777 2.276 -3.850
-5.491 1.191 1.642
-1.750 5.559 0.552
Ca Fe Ir
4 1 1
Cartesian
-6.023 4.522 -2.555
-4.125 3.379 -0.620
-5.004 6.172 -0.342
-6.885 3.977 0.205
-8.264 6.769 -1.242
0.000 0.000 0.000
```

Properties
* final energy: -0.127 hartree per atom
* total magnetic moment: 2.04 Bohr magnetons per cell
* volume: 141.8 Å³ per cell
* ΔE_f: 6.66 eV per formula unit

[2]
Material: K2CaFeIr
Method: DFT, GGA-PBEsol
State: optimized geometry

The structure in POSCAR format:
```
K2CaFeIr
1.0
5.418 0.000 0.000
0.000 5.314 0.000
0.000 0.000 5.314
K Ca Ir Fe
2 1 1 1
Cartesian
0.000 0.000 2.657
0.000 2.657 0.000
2.709 0.000 0.000
2.709 2.657 2.657
0.000 0.000 0.000
```

Properties
* final energy: -0.110 hartree per atom
* total magnetic moment: 3.08 Bohr magnetons per cell
* volume: 153.0 Å³ per cell
* ΔE_f: 8.22 eV per formula unit

[3]
Material: CaFe2IrPd
Method: DFT, GGA-PBEsol
State: optimized geometry

The structure in POSCAR format:
```
CaFe2IrPd
1.0
-0.942 0.360 4.193
-3.592 -2.308 -0.609
2.369 -3.917 0.869
Ca Ir Fe Pd
1 1 2 1
Cartesian
0.000 0.000 0.000
1.185 -1.959 0.434
-1.796 -1.154 -0.304
-0.471 0.180 2.097
-1.083 -2.932 2.227
```

Properties
* final energy: -0.187 hartree per atom
* total magnetic moment: 5.70 Bohr magnetons per cell
* volume: 86.7 Å³ per cell
* ΔE_f: 10.45 eV per formula unit

[4]
Material: CaFeIrS2
Method: DFT, GGA-PBEsol
State: optimized geometry

The structure in POSCAR format:
```
CaFeIrS2
1.0
-2.782 1.038 -3.918
-1.008 -4.780 -0.550
-3.899 0.488 2.898
S Ca Ir Fe
2 1 1 1
Cartesian
-0.504 -2.390 -0.275
-1.391 0.519 -1.959
0.000 0.000 0.000
-1.950 0.244 1.449
-3.845 -1.627 -0.785
```

Properties
* final energy: -0.161 hartree per atom
* total magnetic moment: 5.15 Bohr magnetons per cell
* volume: 118.0 Å³ per cell
* raw formation energy: 1.553 eV per atom

> The lowest total magnetic moment belongs to which entry?

Ca4FeIr